A geometry-optimized SrCd2Pt structure. Source: Alexandria, functional GGA-PBE.

- VASP energy: -2.767 eV per atom
- Total magnetization: 0.0 Bohr magnetons per cell
- Density: 8.6 g cm⁻³
- Formation energy: -379 meV/atom

Structure (POSCAR):
```
SrCd2Pt
1.0
5.175 -1.986 0.000
5.175 1.986 0.000
-1.832 0.000 4.792
Sr Cd Pt
1 2 1
direct
0.000 0.000 0.000 Sr
0.214 0.214 0.678 Cd
0.786 0.786 0.322 Cd
0.500 0.500 0.500 Pt
```